{"formula": "BaP2ClO", "functional": "PBE", "state": "relaxed", "lattice_angstrom": [[6.7462, 0.0000, 0.0000], [0.0000, 6.7462, 0.0000], [0.0000, 0.0000, 4.5216]], "species": ["P", "P", "Ba", "O", "Cl"], "fractional_positions": [[0.0000, 0.5000, 0.0000], [0.5000, 0.0000, 0.0000], [0.0000, 0.0000, 0.0000], [0.0000, 0.0000, 0.5000], [0.5000, 0.5000, 0.5000]], "e_form_raw_ev_per_atom": 0.7213}

=====

{"formula": "LuHfCuRu", "functional": "PBE", "state": "relaxed", "lattice_angstrom": [[4.6693, 0.0000, 0.0000], [2.3347, 4.0437, 0.0000], [2.3347, 1.3479, 3.8125]], "species": ["Ru", "Lu", "Hf", "Cu"], "fractional_positions": [[0.7500, 0.7500, 0.7500], [0.0000, 0.0000, 0.0000], [0.5000, 0.5000, 0.5000], [0.2500, 0.2500, 0.2500]], "ef_ev_per_fu": -1.63}

=====

{"formula": "Tc6BiO18", "functional": "PBE", "state": "relaxed", "lattice_angstrom": [[-1.0245, 7.0068, 1.5362], [-3.4543, -1.8431, 6.0971], [11.0784, 2.8629, 11.4571]], "species": ["Tc", "Tc", "Tc", "Tc", "Tc", "Tc", "Tc", "Tc", "Tc", "Tc", "Tc", "Tc", "Bi", "Bi", "O", "O", "O", "O", "O", "O", "O", "O", "O", "O", "O", "O", "O", "O", "O", "O", "O", "O", "O", "O", "O", "O", "O", "O", "O", "O", "O", "O", "O", "O", "O", "O", "O", "O", "O", "O"], "fractional_positions": [[0.0000, 0.5000, 0.0000], [0.5000, 0.5000, 0.0000], [0.1623, 0.1659, 0.6670], [0.8365, 0.3383, 0.8322], [0.8377, 0.8341, 0.3330], [0.6617, 0.1635, 0.6678], [0.5000, 0.5000, 0.5000], [0.5000, 0.0000, 0.5000], [0.3383, 0.8365, 0.3322], [0.1659, 0.1623, 0.1670], [0.1635, 0.6617, 0.1678], [0.8341, 0.8377, 0.8330], [0.0000, 0.5000, 0.5000], [0.5000, 0.0000, 0.0000], [0.6991, 0.3009, 0.7500], [0.2486, 0.4127, 0.5792], [0.3520, 0.9742, 0.4185], [0.0522, 0.3056, 0.7482], [0.1572, 0.4004, 0.1966], [0.9444, 0.2030, 0.6086], [0.9497, 0.0503, 0.2500], [0.0272, 0.2781, 0.0810], [0.0258, 0.6480, 0.0815], [0.7219, 0.9728, 0.4190], [0.6701, 0.4135, 0.5812], [0.5188, 0.2750, 0.4656], [0.5996, 0.8428, 0.3034], [0.7250, 0.4812, 0.0344], [0.7970, 0.0556, 0.8914], [0.5865, 0.3299, 0.9188], [0.5873, 0.7514, 0.9208], [0.6944, 0.9478, 0.7518], [0.4135, 0.6701, 0.0812], [0.3056, 0.0522, 0.2482], [0.4127, 0.2486, 0.0792], [0.2030, 0.9444, 0.1086], [0.4004, 0.1572, 0.6966], [0.4812, 0.7250, 0.5344], [0.2750, 0.5188, 0.9656], [0.2781, 0.0272, 0.5810], [0.3299, 0.5865, 0.4188], [0.0503, 0.9497, 0.7500], [0.9742, 0.3520, 0.9185], [0.9728, 0.7219, 0.9190], [0.8428, 0.5996, 0.8034], [0.0556, 0.7970, 0.3914], [0.9478, 0.6944, 0.2518], [0.7514, 0.5873, 0.4208], [0.6480, 0.0258, 0.5815], [0.3009, 0.6991, 0.2500]], "e_form_raw_ev_per_atom": -1.2514}

=====

{"formula": "Pm2PaI", "functional": "PBE", "state": "relaxed", "lattice_angstrom": [[3.4884, 0.0000, 0.0000], [1.7442, 3.0211, 0.0000], [1.7442, 1.0070, 11.7232]], "species": ["I", "Pa", "Pm", "Pm"], "fractional_positions": [[0.5000, 0.5000, 0.5000], [0.0000, 0.0000, 0.0000], [0.0934, 0.0934, 0.7198], [0.9066, 0.9066, 0.2802]], "e_form_raw_ev_per_atom": 0.0994}

=====

{"formula": "HfP2Os2", "functional": "PBE", "state": "relaxed", "lattice_angstrom": [[4.2044, 0.0000, 0.0000], [0.0000, 4.2044, 0.0000], [2.1022, 2.1022, 4.5290]], "species": ["Hf", "Os", "Os", "P", "P"], "fractional_positions": [[0.0000, 0.0000, 0.0000], [0.3616, 0.3616, 0.2769], [0.6384, 0.6384, 0.7231], [0.7500, 0.2500, 0.5000], [0.2500, 0.7500, 0.5000]], "ef_ev_per_fu": -1.38}

=====

{"formula": "BaNaZn2Pt2", "functional": "PBE", "state": "relaxed", "lattice_angstrom": [[4.4985, 0.0000, 0.0000], [-2.2493, 3.8958, 0.0000], [0.0000, 0.0000, 7.5942]], "species": ["Ba", "Na", "Zn", "Zn", "Pt", "Pt"], "fractional_positions": [[0.0000, 0.0000, 0.0000], [0.0000, 0.0000, 0.5000], [0.6667, 0.3333, 0.6653], [0.3333, 0.6667, 0.3347], [0.6667, 0.3333, 0.2968], [0.3333, 0.6667, 0.7032]], "ef_ev_per_fu": -3.01}

=====

{"formula": "Cs2HoMgCl6", "functional": "PBE", "state": "relaxed", "lattice_angstrom": [[7.7944, 0.0000, 0.0000], [0.0000, 7.7923, 0.0000], [0.0000, 0.0000, 11.0222]], "species": ["Cs", "Cs", "Cs", "Cs", "Ho", "Ho", "Mg", "Mg", "Cl", "Cl", "Cl", "Cl", "Cl", "Cl", "Cl", "Cl", "Cl", "Cl", "Cl", "Cl"], "fractional_positions": [[0.5000, 0.7495, 0.2502], [0.0000, 0.2505, 0.7502], [0.5000, 0.7495, 0.7498], [0.0000, 0.2505, 0.2498], [0.5000, 0.2492, 0.5000], [0.0000, 0.7508, 0.0000], [0.0000, 0.7500, 0.5000], [0.5000, 0.2500, 0.0000], [0.5000, 0.2492, 0.2598], [0.5000, 0.2492, 0.7402], [0.0000, 0.7508, 0.2402], [0.0000, 0.7508, 0.7598], [0.2599, 0.0087, 0.5000], [0.7401, 0.0087, 0.5000], [0.2599, 0.4892, 0.5000], [0.7401, 0.4892, 0.5000], [0.7599, 0.5108, 0.0000], [0.2401, 0.5108, 0.0000], [0.2401, 0.9913, 0.0000], [0.7599, 0.9913, 0.0000]], "e_form_raw_ev_per_atom": -1.8878}

=====

{"formula": "MnNi2Mo", "functional": "PBE", "state": "relaxed", "lattice_angstrom": [[-0.2671, -1.7087, 2.5221], [-2.4115, -1.4285, -1.2232], [3.2383, -3.6457, -2.1270]], "species": ["Mn", "Mo", "Ni", "Ni"], "fractional_positions": [[0.0000, 0.0000, 0.4872], [0.5000, 0.5000, 0.7514], [0.0000, 0.0000, 0.0124], [0.5000, 0.5000, 0.2489]], "ef_ev_per_fu": 0.29}

=====

{"formula": "ZrNb2InH", "functional": "PBE", "state": "relaxed", "lattice_angstrom": [[4.1785, 0.0000, 0.0000], [0.0000, 4.1785, 0.0000], [0.0000, 0.0000, 4.6791]], "species": ["H", "Nb", "Nb", "Zr", "In"], "fractional_positions": [[0.0000, 0.0000, 0.0000], [0.0000, 0.5000, 0.0000], [0.5000, 0.0000, 0.0000], [0.0000, 0.0000, 0.5000], [0.5000, 0.5000, 0.5000]], "final_energy_ev_per_cell": -35.69}

=====

{"formula": "Sc2ZnBi", "functional": "PBE", "state": "relaxed", "lattice_angstrom": [[0.0000, 3.5471, 3.5471], [3.5471, 0.0000, 3.5471], [3.5471, 3.5471, 0.0000]], "species": ["Sc", "Sc", "Zn", "Bi"], "fractional_positions": [[0.2500, 0.2500, 0.2500], [0.7500, 0.7500, 0.7500], [0.0000, 0.0000, 0.0000], [0.5000, 0.5000, 0.5000]], "ef_ev_per_fu": -1.22}

=====

{"formula": "PaTcPd2", "functional": "PBE", "state": "relaxed", "lattice_angstrom": [[-0.4704, 0.9281, -4.1872], [3.8470, -0.9730, -0.6479], [-1.0836, -3.8041, -0.7214]], "species": ["Pa", "Tc", "Pd", "Pd"], "fractional_positions": [[0.5000, 0.5000, 0.5000], [0.5000, 0.0000, 0.0000], [0.0000, 0.0000, 0.5000], [0.0000, 0.5000, 0.0000]], "ef_ev_per_fu": -2.08}

=====

{"formula": "Pm3PaSb4", "functional": "PBE", "state": "relaxed", "lattice_angstrom": [[4.4536, 0.0000, 0.0000], [0.0000, 7.3083, -2.4952], [0.0000, -0.0638, 7.7223]], "species": ["Sb", "Sb", "Sb", "Sb", "Pa", "Pm", "Pm", "Pm"], "fractional_positions": [[0.0000, 0.2443, 0.2443], [0.5000, 0.7540, 0.2460], [0.0000, 0.7557, 0.7557], [0.5000, 0.2460, 0.7540], [0.5000, 0.0000, 0.0000], [0.0000, 0.0000, 0.5000], [0.5000, 0.5000, 0.5000], [0.0000, 0.5000, 0.0000]], "e_form_raw_ev_per_atom": -1.0039}

=====

{"formula": "SrPrBr5", "functional": "PBE", "state": "relaxed", "lattice_angstrom": [[-2.4330, -3.5853, 0.9222], [7.0624, -4.2229, 2.2143], [-2.0613, 4.7795, 13.1428]], "species": ["Sr", "Sr", "Pr", "Pr", "Br", "Br", "Br", "Br", "Br", "Br", "Br", "Br", "Br", "Br"], "fractional_positions": [[0.7500, 0.0835, 0.1410], [0.2500, 0.9165, 0.8590], [0.2500, 0.4221, 0.3495], [0.7500, 0.5779, 0.6505], [0.2500, 0.0790, 0.3174], [0.7500, 0.1433, 0.9264], [0.7500, 0.3205, 0.4822], [0.2500, 0.3577, 0.1414], [0.2500, 0.3740, 0.7034], [0.7500, 0.6260, 0.2966], [0.7500, 0.6423, 0.8586], [0.2500, 0.6795, 0.5178], [0.2500, 0.8567, 0.0736], [0.7500, 0.9210, 0.6826]], "e_form_raw_ev_per_atom": -1.9512}

=====

{"formula": "NaScSi2", "functional": "PBE", "state": "relaxed", "lattice_angstrom": [[-6.8447, 0.8481, 2.9645], [2.9211, -0.5271, 6.8954], [-1.5880, 2.9778, 4.9869]], "species": ["Sc", "Sc", "Na", "Na", "Si", "Si", "Si", "Si"], "fractional_positions": [[0.0000, 0.0000, 0.0000], [0.7500, 0.2500, 0.5000], [0.5000, 0.5000, 0.0000], [0.2500, 0.7500, 0.5000], [0.6296, 0.1250, 0.2500], [0.1204, 0.6250, 0.2500], [0.3750, 0.3704, 0.7500], [0.8750, 0.8796, 0.7500]], "e_form_raw_ev_per_atom": 0.2812}

=====

{"formula": "W2AuBr", "functional": "PBE", "state": "relaxed", "lattice_angstrom": [[-2.3282, 0.8424, -4.5183], [4.3103, -2.7898, -0.4286], [-1.5280, -2.4127, 0.3376]], "species": ["Au", "Br", "W", "W"], "fractional_positions": [[0.5000, 0.0000, 0.5000], [0.0000, 0.5000, 0.5000], [0.0000, 0.0000, 0.0000], [0.5000, 0.5000, 0.0000]], "e_form_raw_ev_per_atom": 1.2780}

=====

{"formula": "HfVSN2", "functional": "PBE", "state": "relaxed", "lattice_angstrom": [[3.7637, 0.0000, 0.0000], [0.0000, 3.7637, 0.0000], [0.0000, 0.0000, 4.5980]], "species": ["S", "N", "N", "Hf", "V"], "fractional_positions": [[0.0000, 0.0000, 0.5000], [0.0000, 0.5000, 0.0000], [0.5000, 0.0000, 0.0000], [0.5000, 0.5000, 0.5000], [0.0000, 0.0000, 0.0000]], "e_form_raw_ev_per_atom": -0.2268}

=====

{"formula": "SrPmTl4", "functional": "PBE", "state": "relaxed", "lattice_angstrom": [[6.3781, 0.0000, 0.0000], [3.1891, 5.5236, 0.0000], [3.1891, 1.8412, 5.2077]], "species": ["Sr", "Tl", "Tl", "Tl", "Tl", "Pm"], "fractional_positions": [[0.2500, 0.2500, 0.2500], [0.6255, 0.6255, 0.1236], [0.6255, 0.1236, 0.6255], [0.6255, 0.6255, 0.6255], [0.1236, 0.6255, 0.6255], [0.0000, 0.0000, 0.0000]], "ef_ev_per_fu": -0.97}

=====

{"formula": "RbBaNi2Cl8", "functional": "PBE", "state": "relaxed", "lattice_angstrom": [[6.6269, 0.0001, 0.0000], [-3.3136, 5.7390, 0.0000], [0.0000, 0.0000, 10.2760]], "species": ["Rb", "Ba", "Ni", "Ni", "Cl", "Cl", "Cl", "Cl", "Cl", "Cl", "Cl", "Cl"], "fractional_positions": [[0.0000, 0.0000, 0.0000], [0.0000, 0.0000, 0.5000], [0.6667, 0.3333, 0.2349], [0.3333, 0.6667, 0.7651], [0.3333, 0.6667, 0.9757], [0.3534, 0.3454, 0.2993], [0.6546, 0.0080, 0.2993], [0.6667, 0.3333, 0.0243], [0.3454, 0.9920, 0.7007], [0.6466, 0.6546, 0.7007], [0.0080, 0.3534, 0.7007], [0.9920, 0.6466, 0.2993]], "e_form_raw_ev_per_atom": -1.1855}

=====

{"formula": "CaCd2Ag", "functional": "PBE", "state": "relaxed", "lattice_angstrom": [[8.6597, -0.1961, -0.1164], [7.8954, 3.5626, -0.1164], [7.8954, 1.6055, 3.1825]], "species": ["Ca", "Ag", "Cd", "Cd"], "fractional_positions": [[0.7500, 0.7500, 0.7500], [0.2500, 0.2500, 0.2500], [0.9884, 0.9884, 0.9884], [0.5116, 0.5116, 0.5116]], "ef_ev_per_fu": -0.17}

=====

{"formula": "MgIn2Ag5", "functional": "PBE", "state": "relaxed", "lattice_angstrom": [[-5.2590, 2.7916, -2.3062], [-3.5266, -2.9016, 4.4625], [4.9103, 2.9775, 1.2476]], "species": ["Mg", "In", "In", "Ag", "Ag", "Ag", "Ag", "Ag"], "fractional_positions": [[0.2200, 0.2200, 0.4405], [0.2222, 0.7221, 0.4443], [0.7221, 0.2222, 0.4443], [0.7213, 0.2232, 0.9443], [0.2231, 0.2231, 0.9444], [0.7213, 0.7213, 0.9443], [0.2232, 0.7213, 0.9443], [0.7239, 0.7239, 0.4476]], "ef_ev_per_fu": -0.58}

=====

no.,calculated volume (A^3/atom)
1,41.2
2,18.0
3,16.1
4,30.9
5,16.0
6,22.2
7,33.5
8,12.4
9,16.3
10,22.3
11,17.4
12,31.3
13,38.1
14,20.0
15,17.5
16,13.0
17,30.6
18,32.6
19,26.7
20,19.2